First-principles (PBEsol) data for a relaxed IrF4 crystal, as listed in the Alexandria database.

The value obtained for the total magnetization is 0.21 μB/atom. The volume comes out at 12.84 Å³ per atom. As for the formation energy from raw total energies: -30.8 kcal/mol of atoms. For the total energy, the calculation gives -4.84 eV per atom.

abc: 9.328 9.578 5.751
angles: 90.00 90.00 90.00
Space group Fdd2 (No. 43)
Symmetry-distinct sites (fractional):
Ir (0.000, 0.000, 0.000) (multiplicity 8)
F (0.118, 0.411, 0.245) (multiplicity 16)
F (0.119, 0.412, 0.719) (multiplicity 16)



First-principles (PBEsol) data for a relaxed ZrMo2As crystal, as listed in the Alexandria database.

Its formation energy from the elements is -153 meV per atom. The value obtained for the total magnetization is 0.00 μB/atom. The volume comes out at 16.66 Å³ per atom. For the total energy, the calculation gives -9.59 eV per atom.

abc: 9.293 3.287 4.543
angles: 90.00 106.20 90.00
Space group C2/m (No. 12)
Symmetry-distinct sites (fractional):
Zr (0.000, 0.000, 0.000) (multiplicity 2)
Mo (0.237, 0.000, 0.709) (multiplicity 4)
As (0.000, 0.500, 0.500) (multiplicity 2)